(1)
# GGA-PBE NaCa2CeO4, relaxed
# raw total energy = -6.649 eV/atom
# N(E_F) = 7.1 states/eV/cell
# formation energy without anion corrections = -2.76 eV/atom
# volume = 14.68 Å³ per atom
data_NaCa2CeO4
_chemical_formula_sum 'Na2 Ca4 Ce2 O8'
_cell_length_a 4.839
_cell_length_b 4.839
_cell_length_c 10.028
_cell_angle_alpha 90.00
_cell_angle_beta 90.00
_cell_angle_gamma 90.00
_space_group_name_H-M_alt 'I 4/m m m'
_space_group_IT_number 139
_space_group_name_Hall '-I 4 2'
loop_
_atom_site_label
_atom_site_fract_x
_atom_site_fract_y
_atom_site_fract_z
_atom_site_occupancy
Na1 0.000 0.000 0.000 1
Ca1 0.000 0.500 0.250 1
Ce1 0.000 0.000 0.500 1
O1 0.000 0.000 0.266 1
O2 0.000 0.500 0.000 1

---

(2)
# GGA-PBE Na2CaCeO4, relaxed
# raw total energy = -6.396 eV/atom
# N(E_F) = 0.0 states/eV/cell
# formation energy without anion corrections = -2.60 eV/atom
# volume = 14.62 Å³ per atom
data_Na2CaCeO4
_chemical_formula_sum 'Na2 Ca1 Ce1 O4'
_cell_length_a 5.875
_cell_length_b 3.530
_cell_length_c 5.965
_cell_angle_alpha 90.00
_cell_angle_beta 109.02
_cell_angle_gamma 90.00
_space_group_name_H-M_alt 'P 1 2/m 1'
_space_group_IT_number 10
loop_
_space_group_symop_operation_xyz
'x,y,z'
'-x,-y,-z'
'-x,y,-z'
'x,-y,z'
loop_
_atom_site_label
_atom_site_fract_x
_atom_site_fract_y
_atom_site_fract_z
_atom_site_occupancy
Na1 0.000 0.000 0.000 1
Na2 0.000 0.500 0.500 1
Ca1 0.500 0.000 0.500 1
Ce1 0.500 0.500 0.000 1
O1 0.284 0.000 0.774 1
O2 0.289 0.500 0.245 1

---

(3)
# GGA-PBE Na2Ca3CeO6, relaxed
# raw total energy = -6.412 eV/atom
# N(E_F) = 0.0 states/eV/cell
# formation energy without anion corrections = -2.72 eV/atom
# volume = 14.18 Å³ per atom
data_Na2Ca3CeO6
_chemical_formula_sum 'Na4 Ca6 Ce2 O12'
_cell_length_a 5.941
_cell_length_b 10.263
_cell_length_c 5.918
_cell_angle_alpha 90.00
_cell_angle_beta 109.47
_cell_angle_gamma 90.00
_space_group_name_H-M_alt 'C 1 2/m 1'
_space_group_IT_number 12
loop_
_space_group_symop_operation_xyz
'x,y,z'
'-x,-y,-z'
'-x,y,-z'
'x,-y,z'
'x+1/2,y+1/2,z'
'-x+1/2,-y+1/2,-z'
'-x+1/2,y+1/2,-z'
'x+1/2,-y+1/2,z'
loop_
_atom_site_label
_atom_site_fract_x
_atom_site_fract_y
_atom_site_fract_z
_atom_site_occupancy
Na1 0.000 0.166 0.000 1
Ca1 0.000 0.000 0.500 1
Ca2 0.000 0.327 0.500 1
Ce1 0.000 0.500 0.000 1
O1 0.219 0.500 0.752 1
O2 0.240 0.346 0.257 1

---

(4)
# GGA-PBE NaCaCeSbO6, relaxed
# raw total energy = -6.627 eV/atom
# N(E_F) = 0.0 states/eV/cell
# formation energy without anion corrections = -2.31 eV/atom
# volume = 14.72 Å³ per atom
data_NaCaCeSbO6
_chemical_formula_sum 'Na4 Ca4 Ce4 Sb4 O24'
_cell_length_a 8.382
_cell_length_b 8.382
_cell_length_c 8.382
_cell_angle_alpha 90.00
_cell_angle_beta 90.00
_cell_angle_gamma 90.00
_space_group_name_H-M_alt 'F -4 3 m'
_space_group_IT_number 216
_space_group_name_Hall 'F -4 2 3'
loop_
_atom_site_label
_atom_site_fract_x
_atom_site_fract_y
_atom_site_fract_z
_atom_site_occupancy
Na1 0.000 0.000 0.000 1
Ca1 0.000 0.000 0.500 1
Ce1 0.250 0.250 0.750 1
Sb1 0.250 0.250 0.250 1
O1 0.012 0.250 0.250 1

---

(5)
# GGA-PBE NaCaCePb, relaxed
# raw total energy = -3.379 eV/atom
# N(E_F) = 44.6 states/eV/cell
# volume = 31.11 Å³ per atom
data_NaCaCePb
_chemical_formula_sum 'Na4 Ca4 Ce4 Pb4'
_cell_length_a 7.925
_cell_length_b 7.925
_cell_length_c 7.925
_cell_angle_alpha 90.00
_cell_angle_beta 90.00
_cell_angle_gamma 90.00
_space_group_name_H-M_alt 'F -4 3 m'
_space_group_IT_number 216
_space_group_name_Hall 'F -4 2 3'
loop_
_atom_site_label
_atom_site_fract_x
_atom_site_fract_y
_atom_site_fract_z
_atom_site_occupancy
Na1 0.000 0.000 0.000 1
Ca1 0.250 0.250 0.750 1
Ce1 0.250 0.250 0.250 1
Pb1 0.000 0.000 0.500 1

---

(6)
# GGA-PBE Na2Ca3CeS6, relaxed
# raw total energy = -5.120 eV/atom
# formation energy without anion corrections = -1.84 eV/atom
# volume = 23.30 Å³ per atom
data_Na2Ca3CeS6
_chemical_formula_sum 'Na4 Ca6 Ce2 S12'
_cell_length_a 7.012
_cell_length_b 12.131
_cell_length_c 6.977
_cell_angle_alpha 90.00
_cell_angle_beta 109.58
_cell_angle_gamma 90.00
_space_group_name_H-M_alt 'C 1 2/m 1'
_space_group_IT_number 12
loop_
_space_group_symop_operation_xyz
'x,y,z'
'-x,-y,-z'
'-x,y,-z'
'x,-y,z'
'x+1/2,y+1/2,z'
'-x+1/2,-y+1/2,-z'
'-x+1/2,y+1/2,-z'
'x+1/2,-y+1/2,z'
loop_
_atom_site_label
_atom_site_fract_x
_atom_site_fract_y
_atom_site_fract_z
_atom_site_occupancy
Na1 0.000 0.166 0.000 1
Ca1 0.000 0.000 0.500 1
Ca2 0.000 0.330 0.500 1
Ce1 0.000 0.500 0.000 1
S1 0.232 0.500 0.752 1
S2 0.243 0.341 0.252 1

---

(7)
# GGA-PBE Na2CaCeS4, relaxed
# raw total energy = -5.078 eV/atom
# formation energy without anion corrections = -1.69 eV/atom
# volume = 23.71 Å³ per atom
data_Na2CaCeS4
_chemical_formula_sum 'Na2 Ca1 Ce1 S4'
_cell_length_a 6.996
_cell_length_b 4.104
_cell_length_c 6.999
_cell_angle_alpha 90.00
_cell_angle_beta 109.30
_cell_angle_gamma 90.00
_space_group_name_H-M_alt 'P 1 2/m 1'
_space_group_IT_number 10
loop_
_space_group_symop_operation_xyz
'x,y,z'
'-x,-y,-z'
'-x,y,-z'
'x,-y,z'
loop_
_atom_site_label
_atom_site_fract_x
_atom_site_fract_y
_atom_site_fract_z
_atom_site_occupancy
Na1 0.000 0.000 0.000 1
Na2 0.500 0.500 0.000 1
Ca1 0.000 0.500 0.500 1
Ce1 0.500 0.000 0.500 1
S1 0.255 0.000 0.727 1
S2 0.267 0.500 0.272 1

---

(8)
# GGA-PBE Na2Ca3CeSe6, relaxed
# raw total energy = -4.686 eV/atom
# formation energy without anion corrections = -1.73 eV/atom
# volume = 26.46 Å³ per atom
data_Na2Ca3CeSe6
_chemical_formula_sum 'Na4 Ca6 Ce2 Se12'
_cell_length_a 7.319
_cell_length_b 12.662
_cell_length_c 7.274
_cell_angle_alpha 90.00
_cell_angle_beta 109.61
_cell_angle_gamma 90.00
_space_group_name_H-M_alt 'C 1 2/m 1'
_space_group_IT_number 12
loop_
_space_group_symop_operation_xyz
'x,y,z'
'-x,-y,-z'
'-x,y,-z'
'x,-y,z'
'x+1/2,y+1/2,z'
'-x+1/2,-y+1/2,-z'
'-x+1/2,y+1/2,-z'
'x+1/2,-y+1/2,z'
loop_
_atom_site_label
_atom_site_fract_x
_atom_site_fract_y
_atom_site_fract_z
_atom_site_occupancy
Na1 0.000 0.166 0.000 1
Ca1 0.000 0.000 0.500 1
Ca2 0.000 0.331 0.500 1
Ce1 0.000 0.500 0.000 1
Se1 0.234 0.500 0.753 1
Se2 0.243 0.340 0.252 1

---

(9)
# GGA-PBE Na3CaCe2Se6, relaxed
# raw total energy = -4.847 eV/atom
# N(E_F) = 14.8 states/eV/cell
# formation energy without anion corrections = -1.62 eV/atom
# volume = 27.27 Å³ per atom
data_Na3CaCe2Se6
_chemical_formula_sum 'Na6 Ca2 Ce4 Se12'
_cell_length_a 18.501
_cell_length_b 4.273
_cell_length_c 8.508
_cell_angle_alpha 90.00
_cell_angle_beta 103.33
_cell_angle_gamma 90.00
_space_group_name_H-M_alt 'C 1 2/m 1'
_space_group_IT_number 12
loop_
_space_group_symop_operation_xyz
'x,y,z'
'-x,-y,-z'
'-x,y,-z'
'x,-y,z'
'x+1/2,y+1/2,z'
'-x+1/2,-y+1/2,-z'
'-x+1/2,y+1/2,-z'
'x+1/2,-y+1/2,z'
loop_
_atom_site_label
_atom_site_fract_x
_atom_site_fract_y
_atom_site_fract_z
_atom_site_occupancy
Na1 0.000 0.000 0.000 1
Na2 0.163 0.500 0.333 1
Ca1 0.000 0.000 0.500 1
Ce1 0.162 0.500 0.827 1
Se1 0.005 0.500 0.747 1
Se2 0.166 0.000 0.597 1
Se3 0.172 0.000 0.071 1

---

(10)
# GGA-PBE NaCaCeSn, relaxed
# raw total energy = -3.543 eV/atom
# N(E_F) = 44.1 states/eV/cell
# volume = 29.81 Å³ per atom
data_NaCaCeSn
_chemical_formula_sum 'Na4 Ca4 Ce4 Sn4'
_cell_length_a 7.813
_cell_length_b 7.813
_cell_length_c 7.813
_cell_angle_alpha 90.00
_cell_angle_beta 90.00
_cell_angle_gamma 90.00
_space_group_name_H-M_alt 'F -4 3 m'
_space_group_IT_number 216
_space_group_name_Hall 'F -4 2 3'
loop_
_atom_site_label
_atom_site_fract_x
_atom_site_fract_y
_atom_site_fract_z
_atom_site_occupancy
Na1 0.000 0.000 0.000 1
Ca1 0.250 0.250 0.250 1
Ce1 0.250 0.250 0.750 1
Sn1 0.000 0.000 0.500 1

---

(11)
# GGA-PBE NaCaCe2Te4, relaxed
# raw total energy = -4.833 eV/atom
# N(E_F) = 16.2 states/eV/cell
# formation energy without anion corrections = -1.36 eV/atom
# volume = 33.12 Å³ per atom
data_NaCaCe2Te4
_chemical_formula_sum 'Na1 Ca1 Ce2 Te4'
_cell_length_a 7.829
_cell_length_b 4.513
_cell_length_c 7.936
_cell_angle_alpha 90.00
_cell_angle_beta 109.08
_cell_angle_gamma 90.00
_space_group_name_H-M_alt 'P 1 2/m 1'
_space_group_IT_number 10
loop_
_space_group_symop_operation_xyz
'x,y,z'
'-x,-y,-z'
'-x,y,-z'
'x,-y,z'
loop_
_atom_site_label
_atom_site_fract_x
_atom_site_fract_y
_atom_site_fract_z
_atom_site_occupancy
Na1 0.000 0.000 0.000 1
Ca1 0.500 0.500 0.000 1
Ce1 0.000 0.500 0.500 1
Ce2 0.500 0.000 0.500 1
Te1 0.252 0.000 0.752 1
Te2 0.252 0.500 0.251 1

---

(12)
# GGA-PBE NaCaCeTl, relaxed
# raw total energy = -2.944 eV/atom
# N(E_F) = 40.4 states/eV/cell
# volume = 30.78 Å³ per atom
data_NaCaCeTl
_chemical_formula_sum 'Na4 Ca4 Ce4 Tl4'
_cell_length_a 7.897
_cell_length_b 7.897
_cell_length_c 7.897
_cell_angle_alpha 90.00
_cell_angle_beta 90.00
_cell_angle_gamma 90.00
_space_group_name_H-M_alt 'F -4 3 m'
_space_group_IT_number 216
_space_group_name_Hall 'F -4 2 3'
loop_
_atom_site_label
_atom_site_fract_x
_atom_site_fract_y
_atom_site_fract_z
_atom_site_occupancy
Na1 0.000 0.000 0.000 1
Ca1 0.250 0.250 0.750 1
Ce1 0.250 0.250 0.250 1
Tl1 0.000 0.000 0.500 1

---

- What is the volume in the first record?
  14.68 Å³ per atom